## Pu4In16Co3 (PBE-GGA)

Data for a relaxed Pu4In16Co3 crystal.

As for the theoretical density: 9.36 g/cm3. The calculation puts the formation energy from the elements at -134.7 meV/atom. As for the total DFT energy (no corrections): -125.6 eV per cell.

The space group is P4/mmm (No. 123) and the conventional cell measures 6.587, 6.587 and 12.223 Å, with angles of 90.00, 90.00 and 90.00 degrees. The distinct sites, in fractional coordinates, are Pu at (0.000, 0.500, 0.193), In at (0.000, 0.000, 0.199), In at (0.229, 0.229, 0.000), In at (0.249, 0.249, 0.381), In at (0.500, 0.500, 0.209), Co at (0.000, 0.500, 0.500) and Co at (0.500, 0.500, 0.000).